[1]
A relaxed TlCdW2 crystal. Source: the Alexandria database, functional PBE.

Cell: 3.212 3.212 7.975 Å, 90.00 90.00 90.00°
Atoms (fractional coordinates):
Tl 0.000 0.000 0.000
Cd 0.500 0.500 0.694
W 0.000 0.000 0.442
W 0.500 0.500 0.278

Results
energy above the most stable polymorph in this dataset = 70 meV per atom
energy relative to the elements = 0.6064 eV per atom
energy = -6.69 eV per atom
space group = P4mm

***

[2]
A relaxed Tl2CdW crystal. Source: the Alexandria database, functional PBE.

Cell: 3.112 4.461 6.252 Å, 90.00 90.00 90.00°
Atoms (fractional coordinates):
Tl 0.000 0.000 0.238
Tl 0.000 0.000 0.762
Cd 0.500 0.500 0.500
W 0.500 0.500 0.000

Results
energy above the most stable polymorph in this dataset = 245 meV per atom
energy relative to the elements = 0.8899 eV per atom
energy = -3.76 eV per atom
space group = Pmmm

***

[3]
A relaxed TlCd4W crystal. Source: the Alexandria database, functional PBE.

Cell: 5.752 5.752 5.752 Å, 60.00 60.00 60.00°
Atoms (fractional coordinates):
Tl 0.000 0.000 0.000
Cd 0.376 0.376 0.376
Cd 0.376 0.376 0.873
Cd 0.376 0.873 0.376
Cd 0.873 0.376 0.376
W 0.750 0.750 0.750

Results
energy relative to the elements = 0.7554 eV per atom
energy = -2.41 eV per atom
space group = F-43m

***

[4]
A relaxed Tl2CdW crystal. Source: the Alexandria database, functional PBE.

Cell: 2.998 2.998 11.888 Å, 90.00 90.00 116.58°
Atoms (fractional coordinates):
Tl 0.000 0.000 0.221
Tl 0.000 0.000 0.779
Cd 0.500 0.500 0.500
W 0.500 0.500 0.000

Results
energy above the most stable polymorph in this dataset = 70 meV per atom
energy relative to the elements = 0.7152 eV per atom
energy = -3.94 eV per atom
space group = Cmmm

***

[5]
A relaxed TlCdW2 crystal. Source: the Alexandria database, functional PBE.

Cell: 2.877 2.877 9.739 Å, 90.00 90.00 111.58°
Atoms (fractional coordinates):
Tl 0.000 0.000 0.000
Cd 0.000 0.000 0.500
W 0.500 0.500 0.251
W 0.500 0.500 0.749

Results
energy above the most stable polymorph in this dataset = 397 meV per atom
energy relative to the elements = 0.9332 eV per atom
energy = -6.36 eV per atom
space group = Cmmm

***

[6]
A relaxed Tl2CdW crystal. Source: the Alexandria database, functional PBE.

Cell: 7.753 7.753 7.753 Å, 158.48 142.24 43.87°
Atoms (fractional coordinates):
Tl 0.178 0.178 0.000
Tl 0.822 0.822 0.000
Cd 0.500 0.000 0.500
W 0.000 0.500 0.500

Results
energy above the most stable polymorph in this dataset = 93 meV per atom
energy relative to the elements = 0.7384 eV per atom
energy = -3.91 eV per atom
space group = Immm

***

[7]
A relaxed TlCdW2 crystal. Source: the Alexandria database, functional PBE.

Cell: 4.696 4.696 4.696 Å, 60.00 60.00 60.00°
Atoms (fractional coordinates):
Tl 0.000 0.000 0.000
Cd 0.500 0.500 0.500
W 0.250 0.250 0.250
W 0.750 0.750 0.750

Results
energy above the most stable polymorph in this dataset = 747 meV per atom
energy relative to the elements = 1.2839 eV per atom
energy = -6.01 eV per atom
space group = Fm-3m

***

[8]
A relaxed Tl2CdW crystal. Source: the Alexandria database, functional PBE.

Cell: 3.038 4.779 6.059 Å, 90.00 90.00 90.00°
Atoms (fractional coordinates):
Tl 0.000 0.000 0.000
Tl 0.500 0.500 0.289
Cd 0.500 0.500 0.752
W 0.000 0.000 0.510

Results
energy above the most stable polymorph in this dataset = 203 meV per atom
energy relative to the elements = 0.8481 eV per atom
energy = -3.80 eV per atom
space group = Pmm2

***

[9]
A relaxed Tl2CdW crystal. Source: the Alexandria database, functional PBE.

Cell: 3.006 5.257 5.626 Å, 90.00 90.00 90.00°
Atoms (fractional coordinates):
Tl 0.000 0.000 0.000
Tl 0.500 0.000 0.500
Cd 0.000 0.500 0.500
W 0.500 0.500 0.000

Results
energy above the most stable polymorph in this dataset = 186 meV per atom
energy relative to the elements = 0.8310 eV per atom
energy = -3.82 eV per atom
space group = Pmmm

***

[10]
A relaxed Tl2CdW crystal. Source: the Alexandria database, functional PBE.

Cell: 5.405 5.405 3.063 Å, 90.00 90.00 105.20°
Atoms (fractional coordinates):
Tl 0.000 0.500 0.000
Tl 0.500 0.000 0.000
Cd 0.000 0.000 0.500
W 0.500 0.500 0.500

Results
energy above the most stable polymorph in this dataset = 238 meV per atom
energy relative to the elements = 0.8831 eV per atom
energy = -3.77 eV per atom
space group = Cmmm

***

[11]
A relaxed TlCdW2 crystal. Source: the Alexandria database, functional PBE.

Cell: 3.271 3.271 6.929 Å, 90.00 90.00 90.00°
Atoms (fractional coordinates):
Tl 0.000 0.000 0.000
Cd 0.000 0.000 0.500
W 0.500 0.500 0.231
W 0.500 0.500 0.769

Results
energy above the most stable polymorph in this dataset = 730 meV per atom
energy relative to the elements = 1.2668 eV per atom
energy = -6.03 eV per atom
space group = P4/mmm

***

[12]
A relaxed Tl2CdW crystal. Source: the Alexandria database, functional PBE.

Cell: 11.578 11.578 11.578 Å, 15.18 15.18 15.18°
Atoms (fractional coordinates):
Tl 0.241 0.241 0.241
Tl 0.759 0.759 0.759
Cd 0.000 0.000 0.000
W 0.500 0.500 0.500

Results
energy above the most stable polymorph in this dataset = 57 meV per atom
energy relative to the elements = 0.7021 eV per atom
energy = -3.95 eV per atom
space group = R-3m

***

[13]
A relaxed Tl2CdW crystal. Source: the Alexandria database, functional PBE.

Cell: 3.012 5.224 5.799 Å, 90.00 103.43 90.00°
Atoms (fractional coordinates):
Tl 0.000 0.000 0.000
Tl 0.392 0.500 0.765
Cd 0.710 0.000 0.458
W 0.124 0.500 0.259

Results
energy above the most stable polymorph in this dataset = 151 meV per atom
energy relative to the elements = 0.7957 eV per atom
energy = -3.85 eV per atom
space group = Pm

***

[14]
A relaxed Tl2CdW crystal. Source: the Alexandria database, functional PBE.

Cell: 5.509 5.509 5.578 Å, 95.82 95.82 31.41°
Atoms (fractional coordinates):
Tl 0.238 0.238 0.239
Tl 0.762 0.762 0.761
Cd 0.000 0.000 0.500
W 0.500 0.500 0.000

Results
energy above the most stable polymorph in this dataset = 184 meV per atom
energy relative to the elements = 0.8291 eV per atom
energy = -3.82 eV per atom
space group = C2/m

***

[15]
A relaxed Tl2CdW crystal. Source: the Alexandria database, functional PBE.

Cell: 2.941 2.941 11.135 Å, 90.00 90.00 90.00°
Atoms (fractional coordinates):
Tl 0.000 0.000 0.000
Tl 0.500 0.500 0.323
Cd 0.500 0.500 0.742
W 0.000 0.000 0.548

Results
energy above the most stable polymorph in this dataset = 0 meV per atom
energy relative to the elements = 0.6449 eV per atom
energy = -4.01 eV per atom
space group = P4mm

***

[16]
A relaxed TlCdW2 crystal. Source: the Alexandria database, functional PBE.

Cell: 5.691 5.691 5.691 Å, 146.11 129.15 62.52°
Atoms (fractional coordinates):
Tl 0.000 0.000 0.000
Cd 0.726 0.226 0.500
W 0.266 0.766 0.500
W 0.458 0.458 0.000

Results
energy above the most stable polymorph in this dataset = 299 meV per atom
energy relative to the elements = 0.8358 eV per atom
energy = -6.46 eV per atom
space group = Imm2

***

[17]
A relaxed Tl2CdW crystal. Source: the Alexandria database, functional PBE.

Cell: 2.922 2.922 11.413 Å, 90.00 90.00 90.00°
Atoms (fractional coordinates):
Tl 0.000 0.000 0.219
Tl 0.000 0.000 0.781
Cd 0.500 0.500 0.500
W 0.500 0.500 0.000

Results
energy above the most stable polymorph in this dataset = 133 meV per atom
energy relative to the elements = 0.7782 eV per atom
energy = -3.87 eV per atom
space group = P4/mmm

***

[18]
A relaxed TlCdW2 crystal. Source: the Alexandria database, functional PBE.

Cell: 9.918 9.918 9.918 Å, 17.24 17.24 17.24°
Atoms (fractional coordinates):
Tl 0.000 0.000 0.000
Cd 0.500 0.500 0.500
W 0.250 0.250 0.250
W 0.750 0.750 0.750

Results
energy above the most stable polymorph in this dataset = 399 meV per atom
energy relative to the elements = 0.9361 eV per atom
energy = -6.36 eV per atom
space group = R-3m

***

[19]
A relaxed TlCdW2 crystal. Source: the Alexandria database, functional PBE.

Cell: 5.147 5.147 5.376 Å, 94.70 94.70 32.05°
Atoms (fractional coordinates):
Tl 0.000 0.000 0.000
Cd 0.247 0.247 0.768
W 0.503 0.503 0.488
W 0.748 0.748 0.290

Results
energy above the most stable polymorph in this dataset = 355 meV per atom
energy relative to the elements = 0.8917 eV per atom
energy = -6.41 eV per atom
space group = Cm

***

[20]
A relaxed TlCdW2 crystal. Source: the Alexandria database, functional PBE.

Cell: 4.729 4.729 4.729 Å, 60.00 60.00 60.00°
Atoms (fractional coordinates):
Tl 0.000 0.000 0.000
Cd 0.750 0.750 0.750
W 0.250 0.250 0.250
W 0.500 0.500 0.500

Results
energy above the most stable polymorph in this dataset = 499 meV per atom
energy relative to the elements = 1.0353 eV per atom
energy = -6.26 eV per atom
space group = F-43m